(1)
The following is a DFT calculation (PBE) of crystalline Ba2TlFeN at its relaxed geometry.

a b c (Å): 6.0634 6.0634 3.6304
angles (deg): 90.00 90.00 90.00
Last column: nearest neighbours and their distance in Å.
Sites, in units of the cell vectors:
Ba 0.5000 0.0000 0.0000  2 N 3.03
Fe 0.0000 0.0000 0.5000  2 N 1.82
Ba 0.0000 0.5000 0.0000  2 N 3.03
N 0.0000 0.0000 0.0000  2 Fe 1.82
Tl 0.5000 0.5000 0.5000  8 Ba 3.53, 2 Tl 3.63

## Properties
Density of states at the Fermi level   0.9390 states/eV per atom
E_form (uncorrected)   -0.238 eV per atom
Energy   -4.838 eV/atom
Space-group type   No. 123
Total moment   1.2 Bohr magnetons per cell

=====

(2)
The following is a DFT calculation (PBE) of crystalline Sr3CaCu at its relaxed geometry.

a b c (Å): 6.8172 6.8172 6.8172
angles (deg): 90.00 90.00 90.00
Last column: nearest neighbours and their distance in Å.
Sites, in units of the cell vectors:
Ca 0.0000 0.0000 0.0000  6 Sr 3.41
Cu 0.5000 0.5000 0.5000  12 Sr 4.82
Sr 0.0000 0.0000 0.5000  2 Ca 3.41
Sr 0.5000 0.0000 0.0000  2 Ca 3.41
Sr 0.0000 0.5000 0.0000  2 Ca 3.41

## Properties
Density of states at the Fermi level   1.8687 states/eV per atom
Energy   -1.225 eV/atom
ΔH_f (0 K)   1.0037 eV/atom
Polymorph energy (0 for the lowest one)   1008 meV/atom
Space-group type   No. 221
Total moment   1.1 Bohr magnetons per cell

=====

(3)
The following is a DFT calculation (PBE) of crystalline Dy5HgOs2 at its relaxed geometry.

a b c (Å): 7.7584 7.7584 8.6469
angles (deg): 116.66 116.66 90.00
Last column: nearest neighbours and their distance in Å.
Sites, in units of the cell vectors:
Hg 0.2500 0.2500 0.5000  10 Dy 3.31-3.34
Hg 0.7500 0.7500 0.5000  10 Dy 3.31-3.34
Dy 0.7914 0.9746 0.2660  3 Os 2.83-2.93
Dy 0.5000 0.5000 0.0000  4 Os 2.99, 2 Hg 3.34
Os 0.6409 0.1409 0.0000  8 Dy 2.83-2.99, 1 Os 3.09
Dy 0.5254 0.7086 0.7340  3 Os 2.83-2.93
Dy 0.0254 0.5254 0.7340  3 Os 2.83-2.93
Dy 0.9746 0.4746 0.2660  3 Os 2.83-2.93
Os 0.8591 0.6409 0.0000  8 Dy 2.83-2.99, 1 Os 3.09
Dy 0.7086 0.2086 0.7340  3 Os 2.83-2.93
Dy 0.2914 0.7914 0.2660  3 Os 2.83-2.93
Dy 0.0000 0.0000 0.0000  4 Os 2.99, 2 Hg 3.34
Dy 0.2086 0.0254 0.7340  3 Os 2.83-2.93
Dy 0.4746 0.2914 0.2660  3 Os 2.83-2.93
Os 0.3591 0.8591 0.0000  8 Dy 2.83-2.99, 1 Os 3.09
Os 0.1409 0.3591 0.0000  8 Dy 2.83-2.99, 1 Os 3.09

## Properties
Density of states at the Fermi level   0.7104 states/eV per atom
Energy   -6.067 eV/atom
ΔH_f (0 K)   -0.3458 eV/atom
Space-group type   No. 140
Total moment   0.0 Bohr magnetons per cell

=====

Q: The highest density of states at the Fermi level belongs to which entry?
A: Sr3CaCu

=====

Copy entry 2 word for word.
The following is a DFT calculation (PBE) of crystalline Sr3CaCu at its relaxed geometry.

a b c (Å): 6.8172 6.8172 6.8172
angles (deg): 90.00 90.00 90.00
Last column: nearest neighbours and their distance in Å.
Sites, in units of the cell vectors:
Ca 0.0000 0.0000 0.0000  6 Sr 3.41
Cu 0.5000 0.5000 0.5000  12 Sr 4.82
Sr 0.0000 0.0000 0.5000  2 Ca 3.41
Sr 0.5000 0.0000 0.0000  2 Ca 3.41
Sr 0.0000 0.5000 0.0000  2 Ca 3.41

## Properties
Density of states at the Fermi level   1.8687 states/eV per atom
Energy   -1.225 eV/atom
ΔH_f (0 K)   1.0037 eV/atom
Polymorph energy (0 for the lowest one)   1008 meV/atom
Space-group type   No. 221
Total moment   1.1 Bohr magnetons per cell

=====

Q: What is the energy in the third record?
A: -6.067 eV/atom

=====

Q: What is the energy in the first record?
A: -4.838 eV/atom